Computed, not measured: a relaxed InBTe2 crystal at the PBE level of DFT.

Values from the calculation:
**DFT total energy**: -2.935 eV/atom
**Calculated volume**: 23.9 A^3/atom
**Energy above the most stable polymorph in this dataset**: 0.775 eV/atom
**ΔE_f (raw)**: 0.990 eV per atom

Geometry as POSCAR:
```
InBTe2
1.0
0.0000 3.6311 3.6311
3.6311 0.0000 3.6311
3.6311 3.6311 0.0000
B Te In
1 2 1
Direct
0.0000 0.0000 0.0000
0.2500 0.2500 0.2500
0.7500 0.7500 0.7500
0.5000 0.5000 0.5000
```



Computed, not measured: a relaxed Nd12AlTl4O3 crystal at the PBE level of DFT.

Values from the calculation:
**DFT total energy**: -5.189 eV/atom
**Calculated volume**: 27.5 A^3/atom
**ΔE_f (raw)**: -0.924 eV per atom

Geometry as POSCAR:
```
Nd12AlTl4O3
1.0
8.9347 0.0000 0.0000
-2.9782 8.4237 0.0000
-2.9782 -4.2118 7.2951
Nd Al Tl O
12 1 4 3
Direct
0.2500 0.5000 0.7500
0.7324 0.0000 0.7324
0.2676 0.0000 0.2676
0.7500 0.5000 0.2500
0.7324 0.7324 0.0000
0.2676 0.2676 0.0000
0.7500 0.2500 0.5000
0.2500 0.7500 0.5000
0.5000 0.2500 0.7500
0.0000 0.7324 0.7324
0.5000 0.7500 0.2500
0.0000 0.2676 0.2676
0.0000 0.0000 0.0000
0.5000 0.5000 0.5000
0.0000 0.0000 0.5000
0.5000 0.0000 0.0000
0.0000 0.5000 0.0000
0.5000 0.0000 0.5000
0.5000 0.5000 0.0000
0.0000 0.5000 0.5000
```



Computed, not measured: a relaxed Tb3Pr2Sc2 crystal at the PBE level of DFT.

Values from the calculation:
**DFT total energy**: -5.109 eV/atom
**Calculated volume**: 30.8 A^3/atom
**Energy relative to the elements**: 0.05 eV per atom
**Energy above the most stable polymorph in this dataset**: 0.000 eV/atom

Geometry as POSCAR:
```
Tb3Pr2Sc2
1.0
-2.7112 3.5081 -2.3172
3.2391 -3.5208 -3.7198
-6.3990 -4.5989 0.5248
Tb Pr Sc
3 2 2
Direct
0.5000 0.0000 0.0000
0.6442 0.2883 0.4298
0.3558 0.7117 0.5702
0.9268 0.8535 0.2753
0.0732 0.1465 0.7247
0.7846 0.5691 0.8595
0.2154 0.4309 0.1405
```



Computed, not measured: a relaxed Sm2HoI crystal at the PBE level of DFT.

Values from the calculation:
**DFT total energy**: -4.215 eV/atom
**Calculated volume**: 32.4 A^3/atom
**Energy above the most stable polymorph in this dataset**: 0.051 eV/atom
**ΔE_f (raw)**: -0.323 eV per atom

Geometry as POSCAR:
```
Sm2HoI
1.0
-1.6976 -0.8885 -3.1323
-3.0745 -0.7252 1.8720
-2.8074 9.1385 -1.0706
I Ho Sm
1 1 2
Direct
0.5000 0.5000 0.5000
0.5000 0.5000 0.0000
0.0000 0.0000 0.7435
0.0000 0.0000 0.2565
```



Computed, not measured: a relaxed Sm2MgGa4Pd3 crystal at the PBE level of DFT.

Values from the calculation:
**DFT total energy**: -4.593 eV/atom
**Calculated volume**: 19.6 A^3/atom
**Energy relative to the elements**: -0.72 eV per atom

Geometry as POSCAR:
```
Sm2MgGa4Pd3
1.0
4.1202 0.0000 0.0000
0.0000 4.1202 0.0000
0.0000 0.0000 11.5713
Sm Mg Ga Pd
2 1 4 3
Direct
0.5000 0.0000 0.2388
0.0000 0.5000 0.7612
0.5000 0.5000 0.5000
0.5000 0.5000 0.0000
0.0000 0.0000 0.0000
0.5000 0.0000 0.6475
0.0000 0.5000 0.3525
0.0000 0.0000 0.5000
0.5000 0.0000 0.8645
0.0000 0.5000 0.1355
```



Computed, not measured: a relaxed Ac8NiPt3S4 crystal at the PBE level of DFT.

Values from the calculation:
**DFT total energy**: -6.002 eV/atom
**Calculated volume**: 30.2 A^3/atom
**ΔE_f (raw)**: -1.422 eV per atom

Geometry as POSCAR:
```
Ac8NiPt3S4
1.0
-4.2224 -0.2478 7.4560
6.2051 -5.7061 3.3243
2.6750 7.5043 -3.1634
Ac Ni Pt S
8 1 3 4
Direct
0.2433 0.7348 0.9916
0.2434 0.7349 0.4869
0.2544 0.2635 0.5089
0.7483 0.7348 0.9916
0.2517 0.2652 0.0084
0.7456 0.7365 0.4911
0.7566 0.2651 0.5131
0.7567 0.2652 0.0084
0.0000 0.5000 0.0000
0.5000 0.5000 0.0000
0.5000 0.5000 0.5000
0.0000 0.5000 0.5000
0.5000 0.0000 0.0000
0.5000 0.0000 0.5000
0.0000 0.0000 0.0000
0.0000 0.0000 0.5000
```



Computed, not measured: a relaxed LiCu6Si2 crystal at the PBE level of DFT.

Values from the calculation:
**DFT total energy**: -4.254 eV/atom
**Calculated volume**: 12.0 A^3/atom
**Energy above the most stable polymorph in this dataset**: 0.000 eV/atom
**ΔE_f (raw)**: -0.105 eV per atom

Geometry as POSCAR:
```
LiCu6Si2
1.0
3.9335 0.0000 -0.1814
0.0000 7.3912 0.0000
0.3425 0.0000 7.3828
Li Cu Si
2 12 4
Direct
0.5000 0.5000 0.0000
0.0000 0.0000 0.5000
0.0001 0.0326 0.1697
0.0000 0.6697 0.5326
0.0002 0.6321 0.8679
0.4998 0.1321 0.6321
0.5000 0.1697 0.9674
0.4999 0.5326 0.3303
0.9999 0.9674 0.8303
0.0000 0.3303 0.4674
0.9998 0.3679 0.1321
0.5002 0.8679 0.3679
0.5000 0.8303 0.0326
0.5001 0.4674 0.6697
0.0000 0.2973 0.7973
0.5000 0.7973 0.7027
0.5000 0.2027 0.2973
0.0000 0.7027 0.2027
```



Computed, not measured: a relaxed Be2HIr2 crystal at the PBE level of DFT.

Values from the calculation:
**DFT total energy**: -5.223 eV/atom
**Calculated volume**: 10.8 A^3/atom
**Energy above the most stable polymorph in this dataset**: 0.723 eV/atom

Geometry as POSCAR:
```
Be2HIr2
1.0
4.3258 0.0000 0.0000
0.0000 4.3258 0.0000
2.1629 2.1629 2.8772
Be Ir H
2 2 1
Direct
0.3152 0.3152 0.3696
0.6848 0.6848 0.6304
0.7500 0.2500 0.5000
0.2500 0.7500 0.5000
0.0000 0.0000 0.0000
```



Computed, not measured: a relaxed AcPdAu2 crystal at the PBE level of DFT.

Values from the calculation:
**DFT total energy**: -4.501 eV/atom
**Calculated volume**: 23.4 A^3/atom
**Energy relative to the elements**: -0.54 eV per atom
**Energy above the most stable polymorph in this dataset**: 0.205 eV/atom

Geometry as POSCAR:
```
AcPdAu2
1.0
4.0391 0.0000 0.0000
0.0000 4.0391 0.0000
0.0000 0.0000 5.7268
Ac Au Pd
1 2 1
Direct
0.5000 0.5000 0.5000
0.0000 0.0000 0.7648
0.0000 0.0000 0.2352
0.5000 0.5000 0.0000
```



Computed, not measured: a relaxed HgS2ICl crystal at the PBE level of DFT.

Values from the calculation:
**DFT total energy**: -1.822 eV/atom
**Calculated volume**: 28.9 A^3/atom
**Energy above the most stable polymorph in this dataset**: 0.000 eV/atom
**ΔE_f (raw)**: 0.569 eV per atom

Geometry as POSCAR:
```
HgS2ICl
1.0
-3.7702 -0.9375 -3.3775
3.4084 -2.1380 -3.2113
-0.8671 -4.8637 2.3179
I S Hg Cl
1 2 1 1
Direct
0.0000 0.0000 0.0000
0.0000 0.5000 0.0000
0.5000 0.0000 0.0000
0.5000 0.5000 0.5000
0.0000 0.0000 0.5000
```



Computed, not measured: a relaxed Hf2Ti3Ga3 crystal at the PBE level of DFT.

Values from the calculation:
**DFT total energy**: -6.911 eV/atom
**Calculated volume**: 18.3 A^3/atom
**Energy relative to the elements**: -0.33 eV per atom

Geometry as POSCAR:
```
Hf2Ti3Ga3
1.0
3.8795 -6.7195 0.0000
3.8795 6.7195 0.0000
0.0000 0.0000 5.6157
Hf Ti Ga
4 6 6
Direct
0.6667 0.3333 0.0000
0.3333 0.6667 0.0000
0.3333 0.6667 0.5000
0.6667 0.3333 0.5000
0.7595 0.7595 0.7500
0.2405 0.0000 0.7500
0.0000 0.2405 0.7500
0.2405 0.2405 0.2500
0.7595 0.0000 0.2500
0.0000 0.7595 0.2500
0.3851 0.3851 0.7500
0.6149 0.0000 0.7500
0.0000 0.6149 0.7500
0.6149 0.6149 0.2500
0.3851 0.0000 0.2500
0.0000 0.3851 0.2500
```



Computed, not measured: a relaxed TaCo2Rh crystal at the PBE level of DFT.

Values from the calculation:
**DFT total energy**: -8.535 eV/atom
**Calculated volume**: 13.5 A^3/atom
**Energy relative to the elements**: -0.18 eV per atom
**Energy above the most stable polymorph in this dataset**: 0.156 eV/atom

Geometry as POSCAR:
```
TaCo2Rh
1.0
2.8596 0.0000 0.0000
0.0000 3.4764 0.0000
0.0000 0.0000 5.4488
Co Rh Ta
2 1 1
Direct
0.0000 0.0000 0.0235
0.5000 0.5000 0.2224
0.0000 0.0000 0.4910
0.5000 0.5000 0.7631
```



Computed, not measured: a relaxed Sc2UMoC4 crystal at the PBE level of DFT.

Values from the calculation:
**DFT total energy**: -9.310 eV/atom
**Calculated volume**: 12.6 A^3/atom
**Energy relative to the elements**: -0.35 eV per atom

Geometry as POSCAR:
```
Sc2UMoC4
1.0
3.2855 0.0000 0.0000
0.0000 5.6465 -0.1231
0.0000 1.9802 5.3894
Sc U Mo C
2 1 1 4
Direct
0.0000 0.0000 0.0000
0.5000 0.0000 0.5000
0.0000 0.5000 0.5000
0.5000 0.5000 0.0000
0.0000 0.7320 0.7613
0.0000 0.2680 0.2387
0.5000 0.7346 0.2410
0.5000 0.2655 0.7590
```



Computed, not measured: a relaxed Pm4As2N crystal at the PBE level of DFT.

Values from the calculation:
**DFT total energy**: -6.326 eV/atom
**Calculated volume**: 24.8 A^3/atom
**ΔE_f (raw)**: -1.093 eV per atom

Geometry as POSCAR:
```
Pm4As2N
1.0
4.7084 0.0000 0.0000
0.0000 4.7084 0.0000
2.3542 2.3542 7.8388
As N Pm
2 1 4
Direct
0.6379 0.6379 0.7241
0.3621 0.3621 0.2759
0.0000 0.0000 0.0000
0.8297 0.8297 0.3406
0.1703 0.1703 0.6594
0.0000 0.5000 0.0000
0.5000 0.0000 0.0000
```



Computed, not measured: a relaxed RbCd4Ag crystal at the PBE level of DFT.

Values from the calculation:
**DFT total energy**: -1.135 eV/atom
**Calculated volume**: 35.3 A^3/atom
**Energy relative to the elements**: 0.11 eV per atom
**Energy above the most stable polymorph in this dataset**: 0.134 eV/atom

Geometry as POSCAR:
```
RbCd4Ag
1.0
-5.5484 -1.8756 -4.2108
4.5049 -3.6031 -4.3309
-1.1038 -6.7331 4.4535
Rb Cd Ag
2 8 2
Direct
0.5000 0.0000 0.5000
0.0000 0.5000 0.5000
0.6452 0.1452 0.0000
0.8548 0.6452 0.0000
0.1452 0.3548 0.0000
0.3548 0.8548 0.0000
0.0000 0.0000 0.3269
0.5000 0.5000 0.6731
0.0000 0.0000 0.6731
0.5000 0.5000 0.3269
0.5000 0.5000 0.0000
0.0000 0.0000 0.0000
```



Computed, not measured: a relaxed YCoW crystal at the PBE level of DFT.

Values from the calculation:
**DFT total energy**: -8.638 eV/atom
**Calculated volume**: 18.1 A^3/atom
**Energy relative to the elements**: 0.20 eV per atom
**Energy above the most stable polymorph in this dataset**: 0.000 eV/atom

Geometry as POSCAR:
```
YCoW
1.0
6.1085 0.0023 -0.0024
5.3270 2.9895 0.0143
0.7815 0.1880 2.9814
Co W Y
1 1 1
Direct
0.9679 0.9679 0.0321
0.3667 0.3667 0.6333
0.6654 0.6654 0.3346
```



Computed, not measured: a relaxed Tb2Pu3NbN6 crystal at the PBE level of DFT.

Values from the calculation:
**DFT total energy**: -10.718 eV/atom
**Calculated volume**: 14.1 A^3/atom
**ΔE_f (raw)**: -1.361 eV per atom

Geometry as POSCAR:
```
Tb2Pu3NbN6
1.0
5.9312 0.0010 0.0016
-2.9633 5.1380 0.0016
-0.9887 -1.7119 5.5318
Tb Pu Nb N
2 3 1 6
Direct
0.3332 0.6668 0.0000
0.6668 0.3332 0.0000
0.1666 0.8334 0.5000
0.8334 0.1666 0.5000
0.5000 0.5000 0.5000
0.0000 0.0000 0.0000
0.9182 0.6057 0.7552
0.7685 0.7685 0.2484
0.0818 0.3943 0.2448
0.6057 0.9182 0.7552
0.2315 0.2315 0.7516
0.3943 0.0818 0.2448
```



Computed, not measured: a relaxed AcGaSn2 crystal at the PBE level of DFT.

Values from the calculation:
**DFT total energy**: -4.197 eV/atom
**Calculated volume**: 29.5 A^3/atom
**Energy relative to the elements**: -0.41 eV per atom
**Energy above the most stable polymorph in this dataset**: 0.070 eV/atom

Geometry as POSCAR:
```
AcGaSn2
1.0
-1.6269 3.4300 -2.7368
-3.8187 0.2025 2.5248
5.1091 1.9210 3.3584
Ac Ga Sn
1 1 2
Direct
0.1956 0.7715 0.1760
0.4252 0.4749 0.6381
0.9178 0.8519 0.6215
0.5967 0.1763 0.9772
```



Computed, not measured: a relaxed KInSi2Sb crystal at the PBE level of DFT.

Values from the calculation:
**DFT total energy**: -2.187 eV/atom
**Calculated volume**: 35.7 A^3/atom
**ΔE_f (raw)**: 1.574 eV per atom

Geometry as POSCAR:
```
KInSi2Sb
1.0
-4.4957 -0.7409 3.1031
1.8536 -5.3874 1.3993
2.6729 2.0527 4.3625
Sb K Si In
1 1 2 1
Direct
0.0000 0.5000 0.0000
0.0000 0.0000 0.0000
0.0000 0.0000 0.5000
0.5000 0.0000 0.0000
0.5000 0.5000 0.5000
```



Computed, not measured: a relaxed Pm6Rh2SeBr3 crystal at the PBE level of DFT.

Values from the calculation:
**DFT total energy**: -5.506 eV/atom
**Calculated volume**: 28.9 A^3/atom
**ΔE_f (raw)**: -1.197 eV per atom

Geometry as POSCAR:
```
Pm6Rh2SeBr3
1.0
7.2849 0.0034 0.0024
-3.6377 6.3116 0.0024
-1.2137 -2.1016 7.5392
Pm Rh Se Br
6 2 1 3
Direct
0.9319 0.5763 0.7991
0.7100 0.7100 0.1991
0.0681 0.4237 0.2009
0.5763 0.9319 0.7991
0.2900 0.2900 0.8009
0.4237 0.0681 0.2009
0.3324 0.6676 0.0000
0.6676 0.3324 0.0000
0.0000 0.0000 0.0000
0.1603 0.8397 0.5000
0.8397 0.1603 0.5000
0.5000 0.5000 0.5000
```



Computed, not measured: a relaxed Ba8AgPd2Rh crystal at the PBE level of DFT.

Values from the calculation:
**DFT total energy**: -3.302 eV/atom
**Calculated volume**: 46.0 A^3/atom
**Energy relative to the elements**: -0.30 eV per atom

Geometry as POSCAR:
```
Ba8AgPd2Rh
1.0
7.7242 -0.0080 -0.0049
0.0470 7.5638 -0.0089
0.0061 0.0116 9.4579
Ba Ag Pd Rh
8 1 2 1
Direct
0.1731 0.7683 0.2331
0.6803 0.7399 0.0000
0.8268 0.2316 0.2331
0.8269 0.2317 0.7669
0.3197 0.2601 0.0000
0.1732 0.7684 0.7669
0.6619 0.7191 0.5000
0.3381 0.2809 0.5000
0.0000 0.0000 0.5000
0.5000 0.5000 0.7557
0.5000 0.5000 0.2443
0.0000 0.0000 0.0000
```



Computed, not measured: a relaxed CaSc2Cu crystal at the PBE level of DFT.

Values from the calculation:
**DFT total energy**: -4.494 eV/atom
**Calculated volume**: 23.4 A^3/atom
**Energy relative to the elements**: 0.20 eV per atom

Geometry as POSCAR:
```
CaSc2Cu
1.0
-4.4144 -1.2691 1.8798
-1.3972 -1.0336 -3.9789
1.4090 -4.0683 0.5620
Sc Ca Cu
2 1 1
Direct
0.0000 0.0000 0.0000
0.0000 0.5000 0.5000
0.5000 0.5000 0.0000
0.5000 0.0000 0.5000
```



Computed, not measured: a relaxed Dy2PaSi crystal at the PBE level of DFT.

Values from the calculation:
**DFT total energy**: -6.145 eV/atom
**Calculated volume**: 23.8 A^3/atom
**Energy above the most stable polymorph in this dataset**: 0.000 eV/atom
**ΔE_f (raw)**: -0.114 eV per atom

Geometry as POSCAR:
```
Dy2PaSi
1.0
4.4793 0.0000 0.0000
0.0000 4.6062 0.0000
0.0000 0.0000 4.6062
Si Pa Dy
1 1 2
Direct
0.5000 0.5000 0.5000
0.5000 0.0000 0.0000
0.0000 0.0000 0.5000
0.0000 0.5000 0.0000
```



Computed, not measured: a relaxed Y2Ge4PdAu3 crystal at the PBE level of DFT.

Values from the calculation:
**DFT total energy**: -5.187 eV/atom
**Calculated volume**: 20.1 A^3/atom
**Energy relative to the elements**: -0.55 eV per atom

Geometry as POSCAR:
```
Y2Ge4PdAu3
1.0
4.2188 0.0000 0.0000
0.0000 4.2188 0.0000
0.0000 0.0000 11.2826
Y Ge Pd Au
2 4 1 3
Direct
0.5000 0.0000 0.2719
0.0000 0.5000 0.7281
0.5000 0.5000 0.0000
0.0000 0.0000 0.0000
0.5000 0.0000 0.6325
0.0000 0.5000 0.3675
0.5000 0.5000 0.5000
0.0000 0.0000 0.5000
0.5000 0.0000 0.8530
0.0000 0.5000 0.1470
```